First-principles (PBE-GGA) data for a relaxed structure of ThSiTc4, as listed in Alexandria via LeMat-Bulk.

Results
**Magnetization**: 0.00 μB/cell
**E_tot**: -9.187 eV per atom
**Formation energy (no corrections)**: -0.136 eV/atom

abc: 8.212 3.296 7.525
angles: 90.00 90.00 90.00
Fractional coordinates of all 12 atoms:
Th  0.250  0.000  0.101
Th  0.750  0.000  0.899
Si  0.250  0.000  0.702
Si  0.750  0.000  0.298
Tc  0.000  0.000  0.500
Tc  0.049  0.500  0.794
Tc  0.250  0.500  0.447
Tc  0.451  0.500  0.794
Tc  0.500  0.000  0.500
Tc  0.549  0.500  0.206
Tc  0.750  0.500  0.553
Tc  0.951  0.500  0.206